First-principles (PBE-GGA) data for CsTa2ReRh after structural relaxation, as listed in Alexandria.

Cell: 4.941 4.941 4.799 Å, 90.00 90.00 90.00°
Space group P4/mmm (No. 123)
One atom of each set of equivalent atoms:
Cs1 0.000 0.000 0.000 [1 per cell]
Ta1 0.000 0.500 0.000 [2 per cell]
Re1 0.000 0.000 0.500 [1 per cell]
Rh1 0.500 0.500 0.500 [1 per cell]

Values from the calculation:
* ΔE_f: 17.55 eV/f.u.
* total moment: 0.00 μB/cell

***

First-principles (PBE-GGA) data for BeCrIn2 after structural relaxation, as listed in Alexandria.

Cell: 7.154 7.154 5.456 Å, 90.00 90.00 90.00°
Space group I-42d (No. 122)
One atom of each set of equivalent atoms:
Be1 0.000 0.000 0.000 [4 per cell]
Cr1 0.000 0.000 0.500 [4 per cell]
In1 0.213 0.250 0.125 [8 per cell]

Values from the calculation:
* ΔE_f: 3.42 eV/f.u.
* total moment: 0.00 μB/cell

***

First-principles (PBE-GGA) data for Cs2RbPb2 after structural relaxation, as listed in Alexandria.

Cell: 9.890 9.890 6.006 Å, 90.00 90.00 90.00°
Space group P4/mbm (No. 127)
One atom of each set of equivalent atoms:
Cs1 0.180 0.320 0.000 [4 per cell]
Rb1 0.000 0.000 0.500 [2 per cell]
Pb1 0.103 0.603 0.500 [4 per cell]

Values from the calculation:
* ΔE_f: -0.33 eV/f.u.
* total moment: 0.01 μB/cell
* energy relative to the lowest polymorph listed for this composition: 38 meV/atom

***

First-principles (PBE-GGA) data for Cr4HgIr after structural relaxation, as listed in Alexandria.

Cell: 6.855 6.855 6.855 Å, 90.00 90.00 90.00°
Space group F-43m (No. 216)
One atom of each set of equivalent atoms:
Cr1 0.122 0.122 0.122 [16 per cell]
Hg1 0.250 0.250 0.750 [4 per cell]
Ir1 0.000 0.000 0.500 [4 per cell]

Values from the calculation:
* ΔE_f: 1.79 eV/f.u.
* total moment: 0.00 μB/cell

***

First-principles (PBE-GGA) data for Mg5Si6 after structural relaxation, as listed in Alexandria.

Cell: 5.718 5.822 12.888 Å, 97.95 95.48 96.17°
Space group P1 (No. 1)
One atom of each set of equivalent atoms:
Mg1 0.000 0.000 0.000 [1 per cell]
Mg2 0.015 0.350 0.424 [1 per cell]
Mg3 0.032 0.863 0.504 [1 per cell]
Mg4 0.193 0.540 0.050 [1 per cell]
Mg5 0.217 0.291 0.651 [1 per cell]
Mg6 0.376 0.711 0.830 [1 per cell]
Mg7 0.491 0.107 0.417 [1 per cell]
Mg8 0.567 0.254 0.891 [1 per cell]
Mg9 0.638 0.356 0.195 [1 per cell]
Mg10 0.833 0.880 0.251 [1 per cell]
Si1 0.076 0.284 0.850 [1 per cell]
Si2 0.096 0.277 0.207 [1 per cell]
Si3 0.270 0.663 0.298 [1 per cell]
Si4 0.341 0.971 0.195 [1 per cell]
Si5 0.442 0.617 0.554 [1 per cell]
Si6 0.496 0.944 0.029 [1 per cell]
Si7 0.561 0.973 0.682 [1 per cell]
Si8 0.633 0.613 0.398 [1 per cell]
Si9 0.708 0.333 0.614 [1 per cell]
Si10 0.720 0.627 0.046 [1 per cell]
Si11 0.834 0.563 0.787 [1 per cell]
Si12 0.971 0.925 0.722 [1 per cell]

Values from the calculation:
* total moment: 0.00 μB/cell
* formation energy (no corrections): 79 kJ/mol of formula units
* energy relative to the lowest polymorph listed for this composition: 50 meV/atom

***

First-principles (PBE-GGA) data for LuPuZn after structural relaxation, as listed in Alexandria.

Cell: 3.428 3.428 12.387 Å, 90.00 90.00 90.00°
Space group I4mm (No. 107)
One atom of each set of equivalent atoms:
Lu1 0.000 0.000 0.000 [2 per cell]
Pu1 0.000 0.000 0.703 [2 per cell]
Zn1 0.000 0.000 0.359 [2 per cell]

Values from the calculation:
* ΔE_f: -0.21 eV/f.u.
* total moment: 12.70 μB/cell
* energy relative to the lowest polymorph listed for this composition: 0 meV/atom